Material: Ho5In2
Method: DFT, PBE
State: relaxed

POSCAR file:
```
Ho5In2
1.0
3.682 0.000 -0.369
0.000 5.189 0.000
0.250 0.000 21.062
Ho In
10 4
Direct
0.953 0.250 0.906
0.047 0.750 0.094
0.525 0.250 0.051
0.475 0.750 0.949
0.739 0.250 0.478
0.261 0.750 0.522
0.168 0.250 0.337
0.832 0.750 0.663
0.381 0.250 0.762
0.619 0.750 0.238
0.093 0.250 0.186
0.907 0.750 0.814
0.306 0.250 0.612
0.694 0.750 0.388
```

## Properties
final energy: -4.2968 eV/atom
energy of formation: -0.2445 eV per atom
space-group type: Cmcm
energy above the most stable polymorph in this dataset: 0.66 kcal/mol of atoms
size of the total moment: 0.00 μB per cell